1.
A relaxed structure of Sc6P3C, computed with GGA-PBE.

Cell: 6.0214 6.8625 8.8210 Å, 90.00 88.23 90.00°
Fractional positions:
Sc 0.6854 0.1666 0.9418
Sc 0.6525 0.2010 0.5639
Sc 0.6485 0.4507 0.2636
Sc 0.3515 0.5493 0.7364
Sc 0.3475 0.7990 0.4361
Sc 0.3146 0.8334 0.0582
Sc 0.1854 0.3334 0.4418
Sc 0.1525 0.2990 0.0639
Sc 0.1485 0.0493 0.7636
Sc 0.8515 0.9507 0.2364
Sc 0.8475 0.7010 0.9361
Sc 0.8146 0.6666 0.5582
P 0.5467 0.8907 0.7554
P 0.5000 0.5000 0.0000
P 0.4533 0.1093 0.2446
P 0.0467 0.6093 0.2554
P 0.0000 0.0000 0.5000
P 0.9533 0.3907 0.7446
C 0.5000 0.5000 0.5000
C 0.0000 0.0000 0.0000

=====

2.
A relaxed structure of BiRu2O8, computed with GGA-PBE.

Properties
E_form (uncorrected) = -508 meV per atom

Cell: 3.8164 5.6927 5.6927 Å, 112.29 94.08 94.08°
Fractional positions:
Bi 0.5000 0.0000 0.0000
Ru 0.0000 0.3261 0.6739
Ru 0.0000 0.6739 0.3261
O 0.9546 0.9571 0.6780
O 0.9546 0.6780 0.9571
O 0.2692 0.5940 0.5940
O 0.5000 0.7367 0.2633
O 0.5000 0.2633 0.7367
O 0.7308 0.4060 0.4060
O 0.0454 0.3220 0.0429
O 0.0454 0.0429 0.3220

=====

3.
A relaxed structure of Zr2Zn6Cu3, computed with GGA-PBE.

Cell: 4.0232 7.1137 7.1137 Å, 120.00 90.00 90.00°
Fractional positions:
Zr 0.0000 0.6667 0.3333
Zr 0.0000 0.3333 0.6667
Zn 0.5000 0.7310 0.7310
Zn 0.5000 0.0000 0.2690
Zn 0.0000 0.2084 0.2084
Zn 0.0000 0.7916 0.0000
Zn 0.5000 0.2690 0.0000
Zn 0.0000 0.0000 0.7916
Cu 0.5000 0.4012 0.4012
Cu 0.5000 0.5988 0.0000
Cu 0.5000 0.0000 0.5988

=====

4.
A relaxed structure of KCuBr2, computed with GGA-PBE.

Properties
E_form (uncorrected) = -965 meV per atom

Cell: 6.1378 5.7155 7.3006 Å, 90.00 112.88 90.00°
Fractional positions:
K 0.0000 0.0000 0.5000
K 0.5000 0.5000 0.5000
Cu 0.5000 0.2750 0.0000
Cu 0.5000 0.7250 0.0000
Br 0.6115 0.0000 0.7805
Br 0.3885 0.0000 0.2195
Br 0.8502 0.5000 0.2238
Br 0.1498 0.5000 0.7762

=====

Q: Which volume values were calculated for the entries above? A: 18.2, 10.3, 16.0, 29.5, in A^3/atom.
Q: Which energy values were calculated for the entries above? A: -7.39, -6.15, -3.44, -3.10, in eV per atom.